Entry 1:
VASP calculation (GGA-PBE) on Ti8AlSn2 after structural relaxation.

POSCAR file:
```
Ti8AlSn2
1.0
7.3859 -2.0357 0.0000
7.3859 2.0357 0.0000
-2.3658 0.0000 6.5111
Ti Al Sn
8 1 2
Cartesian
0.0382 0.0000 1.6649
0.3710 0.0000 4.4491
3.3911 0.0000 3.7822
6.0147 0.0000 0.3818
6.3913 0.0000 6.1293
9.0149 0.0000 2.7289
12.0349 0.0000 2.0620
12.3678 0.0000 4.8462
6.2030 0.0000 3.2555
2.8575 0.0000 0.9730
9.5485 0.0000 5.5381
```

Calculated values
- M_tot (μB/cell) = 0.00
- D(E_F) (states/eV/f.u.) = 13.3
- electronic total energy (eV per formula unit) = -77.6
- ΔH_f (0 K) (eV per atom) = -0.248

=====

Entry 2:
VASP calculation (GGA-PBE) on LaPRh after structural relaxation.

POSCAR file:
```
LaPRh
1.0
-2.0709 2.0709 7.2226
2.0709 -2.0709 7.2226
2.0709 2.0709 -7.2226
La P Rh
2 2 2
Cartesian
0.0000 0.0000 0.0000
0.0000 2.0709 3.6113
2.0709 0.0000 4.7678
0.0000 0.0000 8.3791
2.0709 0.0000 2.3628
0.0000 0.0000 5.9741
```

Calculated values
- M_tot (μB/cell) = 0.00
- D(E_F) (states/eV/f.u.) = 1.6
- electronic total energy (eV per formula unit) = -21.5
- ΔH_f (0 K) (eV per atom) = -1.277

=====

Entry 3:
VASP calculation (GGA-PBE) on LaPm12Tl6 after structural relaxation.

POSCAR file:
```
LaPm12Tl6
1.0
6.9942 4.0381 3.8461
-6.9942 4.0381 3.8461
0.0000 -8.0762 3.8461
La Pm Tl
1 12 6
Cartesian
0.0000 0.0000 0.0000
-2.7236 -4.7174 5.7691
-5.4472 0.0000 5.7691
-1.8379 -1.0611 3.9970
1.8379 -1.0611 3.9970
0.0000 2.1223 3.9970
2.7236 -4.7174 5.7691
-2.7236 4.7174 5.7691
0.0000 -2.1223 7.5413
-1.8379 1.0611 7.5413
1.8379 1.0611 7.5413
5.4472 0.0000 5.7691
2.7236 4.7174 5.7691
0.0000 -3.7715 4.7254
-3.2662 1.8858 4.7254
-3.2662 -1.8858 6.8129
3.2662 1.8858 4.7254
3.2662 -1.8858 6.8129
0.0000 3.7715 6.8129
```

Calculated values
- M_tot (μB/cell) = 0.03
- D(E_F) (states/eV/f.u.) = 32.4
- electronic total energy (eV per formula unit) = -76.7
- ΔH_f (0 K) (eV per atom) = -0.030

=====

Entry 4:
VASP calculation (GGA-PBE) on Ac2La8Er after structural relaxation.

POSCAR file:
```
Ac2La8Er
1.0
8.4842 -3.5286 0.0000
8.4842 3.5286 0.0000
-1.4221 0.0000 6.9468
Ac La Er
2 8 1
Cartesian
2.7999 0.0000 2.1973
12.7464 0.0000 4.7494
6.9482 1.6316 0.7221
2.9290 0.0000 5.7676
8.5981 1.6316 6.2247
6.0966 0.0000 4.0571
9.4498 0.0000 2.8897
6.9482 -1.6316 0.7221
12.6173 0.0000 1.1792
8.5981 -1.6316 6.2247
-0.7111 0.0000 3.4734
```

Calculated values
- M_tot (μB/cell) = 0.00
- D(E_F) (states/eV/f.u.) = 18.7
- electronic total energy (eV per formula unit) = -50.9
- ΔH_f (0 K) (eV per atom) = 0.119